Al2TlNi: relaxed, PBE-GGA.

The structure in POSCAR format:
```
Al2TlNi
1.0
0.000 3.284 3.284
3.284 0.000 3.284
3.284 3.284 0.000
Al Tl Ni
2 1 1
direct
0.000 0.000 0.000
0.250 0.250 0.250
0.500 0.500 0.500
0.750 0.750 0.750
```

Properties
- distance to the lowest polymorph of the same formula (kcal/mol of atoms) = 8.99
- calculated density (Mg/m³) = 7.4
- final energy (eV/f.u.) = -14.44
- symmetry = No. 216
- energy of formation from the pure elements (eV per atom) = 0.298
- crystal system = cubic